No. 1
A plane-wave DFT calculation with GGA-PBE was carried out for Tb2Ga3Sn3 after structural relaxation.

Properties
- Crystal system: orthorhombic

abc: 4.3445 4.4471 9.5182
angles: 90.00 90.00 90.00
Last column: nearest neighbours and their distance in Å.
Positions (direct):
Tb 0.0000 0.0000 0.2427  6 Ga 3.11-3.17, 6 Sn 3.21-3.31
Tb 0.0000 0.0000 0.7573  6 Ga 3.11-3.17, 6 Sn 3.21-3.31
Ga 0.5000 0.0000 0.0000  4 Sn 3.11, 4 Ga 3.14, 4 Tb 3.17
Ga 0.5000 0.5000 0.2327  6 Sn 3.10-3.38, 4 Tb 3.11, 2 Ga 3.14
Ga 0.5000 0.5000 0.7673  6 Sn 3.10-3.38, 4 Tb 3.11, 2 Ga 3.14
Sn 0.0000 0.5000 0.0000  8 Ga 3.10-3.11, 4 Tb 3.21
Sn 0.0000 0.5000 0.5000  4 Sn 3.11, 4 Tb 3.31, 4 Ga 3.35
Sn 0.5000 0.0000 0.5000  4 Sn 3.11, 4 Tb 3.27, 4 Ga 3.38

---

No. 2
A plane-wave DFT calculation with GGA-PBE was carried out for Tb5Ga2Sn after structural relaxation.

Properties
- Crystal system: tetragonal

abc: 8.8731 8.8731 8.8731
angles: 127.04 127.04 78.19
Last column: nearest neighbours and their distance in Å.
Positions (direct):
Tb 0.0000 0.0000 0.0000  4 Ga 3.11, 2 Sn 3.44
Tb 0.0190 0.5190 0.8265  3 Ga 3.05-3.06, 2 Sn 3.30
Tb 0.1925 0.0190 0.5000  3 Ga 3.05-3.06, 2 Sn 3.30
Tb 0.3075 0.8075 0.8265  3 Ga 3.05-3.06, 2 Sn 3.30
Tb 0.4810 0.3075 0.5000  3 Ga 3.05-3.06, 2 Sn 3.30
Tb 0.5000 0.5000 0.0000  4 Ga 3.11, 2 Sn 3.44
Tb 0.5190 0.6925 0.5000  3 Ga 3.05-3.06, 2 Sn 3.30
Tb 0.6925 0.1925 0.1735  3 Ga 3.05-3.06, 2 Sn 3.30
Tb 0.8075 0.9810 0.5000  3 Ga 3.05-3.06, 2 Sn 3.30
Tb 0.9810 0.4810 0.1735  3 Ga 3.05-3.06, 2 Sn 3.30
Ga 0.1296 0.3704 0.5000  1 Ga 2.90, 8 Tb 3.05-3.11
Ga 0.3704 0.8704 0.2407  1 Ga 2.90, 8 Tb 3.05-3.11
Ga 0.6296 0.1296 0.7593  1 Ga 2.90, 8 Tb 3.05-3.11
Ga 0.8704 0.6296 0.5000  1 Ga 2.90, 8 Tb 3.05-3.11
Sn 0.2500 0.2500 0.0000  10 Tb 3.30-3.44
Sn 0.7500 0.7500 0.0000  10 Tb 3.30-3.44

---

| no. | V (A^3/atom) | Fermi-level density of states (states/eV/atom) | ΔH_f (0 K) (eV per atom) |
| --- | --- | --- | --- |
| 1 | 22.987 | 0.434 | -0.48 |
| 2 | 26.952 | 0.853 | -0.58 |